Record 1
A plane-wave DFT calculation with GGA-PBE was carried out for an optimized crystal structure of InRhBr4.

```
InRhBr4
1.0
-1.559 3.103 5.321
-1.077 6.260 -0.172
-5.901 2.231 0.764
In Rh Br
1 1 4
direct
0.750 0.750 0.750
0.000 0.000 0.000
0.876 0.375 0.375
0.375 0.375 0.876
0.375 0.876 0.375
0.375 0.375 0.375
```

## Properties
As for the density of states at the Fermi level: 1.05 states/eV per atom. For the spin magnetization, the calculation gives 0.5 Bohr magnetons per cell. As for the space-group type: F-43m, No. 216.

=====

Record 2
A plane-wave DFT calculation with GGA-PBE was carried out for an optimized crystal structure of In2RhBr.

```
In2RhBr
1.0
8.001 0.031 0.078
-3.379 3.953 -0.050
1.244 1.098 2.729
Rh Br In
1 1 2
direct
0.000 0.500 0.500
0.500 0.500 0.000
0.000 0.000 0.000
0.500 0.000 0.500
```

## Properties
As for the density of states at the Fermi level: 0.75 states/eV per atom. For the excess energy over the best structure of this formula in the dataset, the calculation gives 266 meV per atom. For the spin magnetization, the calculation gives 0.0 Bohr magnetons per cell. As for the space-group type: Cmmm, No. 65.

=====

Record 3
A plane-wave DFT calculation with GGA-PBE was carried out for an optimized crystal structure of In2RhBr.

```
In2RhBr
1.0
3.374 0.000 0.000
0.000 3.374 0.000
0.000 0.000 8.099
Rh Br In
1 1 2
direct
0.000 0.000 0.476
0.500 0.500 0.713
0.000 0.000 0.997
0.500 0.500 0.314
```

## Properties
As for the density of states at the Fermi level: 0.74 states/eV per atom. For the excess energy over the best structure of this formula in the dataset, the calculation gives 301 meV per atom. For the spin magnetization, the calculation gives 0.0 Bohr magnetons per cell. As for the space-group type: P4mm, No. 99.

=====

Record 4
A plane-wave DFT calculation with GGA-PBE was carried out for an optimized crystal structure of In2RhBr.

```
In2RhBr
1.0
-8.117 -1.599 1.044
-6.852 -2.596 3.979
-0.480 3.322 1.335
Rh Br In
1 1 2
direct
0.546 0.546 0.377
0.803 0.803 0.874
0.975 0.975 0.877
0.177 0.177 0.372
```

## Properties
As for the density of states at the Fermi level: 0.29 states/eV per atom. For the excess energy over the best structure of this formula in the dataset, the calculation gives 31 meV per atom. For the spin magnetization, the calculation gives 0.0 Bohr magnetons per cell. As for the space-group type: Cm, No. 8.

=====

Record 5
A plane-wave DFT calculation with GGA-PBE was carried out for an optimized crystal structure of In2RhBr.

```
In2RhBr
1.0
3.376 0.000 0.000
0.000 3.256 -0.030
0.000 0.079 8.070
Rh Br In
1 1 2
direct
0.500 0.250 0.250
0.500 0.750 0.750
0.000 0.750 0.051
0.000 0.750 0.449
```

## Properties
As for the density of states at the Fermi level: 0.49 states/eV per atom. For the excess energy over the best structure of this formula in the dataset, the calculation gives 0 meV per atom. For the spin magnetization, the calculation gives 0.0 Bohr magnetons per cell. As for the space-group type: Pmmm, No. 47.

=====

Record 6
A plane-wave DFT calculation with GGA-PBE was carried out for an optimized crystal structure of InRhBr3.

```
InRhBr3
1.0
-4.324 1.636 -2.277
-2.742 -1.600 4.060
0.582 4.618 2.213
Rh Br In
1 3 1
direct
0.000 0.000 0.000
0.000 0.500 0.000
0.000 0.000 0.500
0.500 0.000 0.000
0.500 0.500 0.500
```

## Properties
As for the density of states at the Fermi level: 0.57 states/eV per atom. For the spin magnetization, the calculation gives 0.0 Bohr magnetons per cell. As for the space-group type: Pm-3m, No. 221.

=====

Record 7
A plane-wave DFT calculation with GGA-PBE was carried out for an optimized crystal structure of InRhBr.

```
InRhBr
1.0
4.578 0.000 0.000
-2.289 3.965 0.000
0.000 0.000 3.364
Rh Br In
1 1 1
direct
0.333 0.667 0.832
0.000 0.000 0.834
0.667 0.333 0.334
```

## Properties
As for the density of states at the Fermi level: 0.81 states/eV per atom. For the excess energy over the best structure of this formula in the dataset, the calculation gives 162 meV per atom. For the spin magnetization, the calculation gives 0.0 Bohr magnetons per cell. As for the space-group type: P3m1, No. 156.

=====

Record 8
A plane-wave DFT calculation with GGA-PBE was carried out for an optimized crystal structure of InRhBr.

```
InRhBr
1.0
-2.340 1.132 2.394
-1.123 -1.455 -3.017
0.038 -5.342 2.562
Rh Br In
1 1 1
direct
0.333 0.667 0.652
0.000 0.000 0.983
0.667 0.333 0.365
```

## Properties
As for the density of states at the Fermi level: 0.35 states/eV per atom. For the excess energy over the best structure of this formula in the dataset, the calculation gives 0 meV per atom. For the spin magnetization, the calculation gives 0.0 Bohr magnetons per cell. As for the space-group type: P3m1, No. 156.

=====

Record 9
A plane-wave DFT calculation with GGA-PBE was carried out for an optimized crystal structure of In2RhBr.

```
In2RhBr
1.0
-1.549 -3.173 -3.562
1.236 -4.854 0.256
-3.507 -3.429 1.048
Rh Br In
1 1 2
direct
0.750 0.750 0.750
0.500 0.500 0.500
0.000 0.000 0.000
0.250 0.250 0.250
```

## Properties
As for the density of states at the Fermi level: 0.32 states/eV per atom. For the excess energy over the best structure of this formula in the dataset, the calculation gives 547 meV per atom. For the spin magnetization, the calculation gives 0.0 Bohr magnetons per cell. As for the space-group type: F-43m, No. 216.

=====

Record 10
A plane-wave DFT calculation with GGA-PBE was carried out for an optimized crystal structure of In2RhBr.

```
In2RhBr
1.0
-3.138 -1.840 -0.919
-0.048 -1.626 3.417
-4.157 5.038 4.103
Rh Br In
1 1 2
direct
0.000 0.784 0.344
0.500 0.510 0.797
0.000 0.927 0.002
0.500 0.278 0.358
```

## Properties
As for the density of states at the Fermi level: 0.51 states/eV per atom. For the excess energy over the best structure of this formula in the dataset, the calculation gives 93 meV per atom. For the spin magnetization, the calculation gives 0.0 Bohr magnetons per cell. As for the space-group type: Pm, No. 6.

=====

Record 11
A plane-wave DFT calculation with GGA-PBE was carried out for an optimized crystal structure of In2RhBr.

```
In2RhBr
1.0
6.457 0.020 0.000
3.898 5.147 0.000
-5.177 -2.584 2.865
Rh Br In
1 1 2
direct
0.500 0.500 0.000
0.750 0.250 0.500
0.000 0.000 0.000
0.250 0.750 0.500
```

## Properties
As for the density of states at the Fermi level: 0.74 states/eV per atom. For the excess energy over the best structure of this formula in the dataset, the calculation gives 491 meV per atom. For the spin magnetization, the calculation gives 0.0 Bohr magnetons per cell. As for the space-group type: I-4m2, No. 119.

=====

Record 12
A plane-wave DFT calculation with GGA-PBE was carried out for an optimized crystal structure of In2RhBr.

```
In2RhBr
1.0
3.757 0.000 0.000
0.000 3.753 0.000
0.000 0.000 7.773
Rh Br In
1 1 2
direct
0.000 0.000 0.334
0.500 0.500 0.802
0.000 0.000 0.002
0.500 0.500 0.361
```

## Properties
As for the density of states at the Fermi level: 0.61 states/eV per atom. For the excess energy over the best structure of this formula in the dataset, the calculation gives 92 meV per atom. For the spin magnetization, the calculation gives 0.0 Bohr magnetons per cell. As for the space-group type: P4mm, No. 99.

=====

Record 13
A plane-wave DFT calculation with GGA-PBE was carried out for an optimized crystal structure of In2RhBr.

```
In2RhBr
1.0
8.531 -0.029 -0.017
7.777 3.506 -0.017
7.777 1.658 3.089
Rh Br In
1 1 2
direct
0.503 0.503 0.503
0.760 0.760 0.760
0.001 0.001 0.001
0.236 0.236 0.236
```

## Properties
As for the density of states at the Fermi level: 0.51 states/eV per atom. For the excess energy over the best structure of this formula in the dataset, the calculation gives 304 meV per atom. For the spin magnetization, the calculation gives 0.0 Bohr magnetons per cell. As for the space-group type: R3m, No. 160.

=====

Record 14
A plane-wave DFT calculation with GGA-PBE was carried out for an optimized crystal structure of In2RhBr.

```
In2RhBr
1.0
3.309 0.026 0.000
-0.040 3.309 0.000
0.000 0.000 7.947
Rh Br In
1 1 2
direct
0.500 0.500 0.250
0.500 0.500 0.750
0.000 0.000 0.043
0.000 0.000 0.457
```

## Properties
As for the density of states at the Fermi level: 0.76 states/eV per atom. For the excess energy over the best structure of this formula in the dataset, the calculation gives 87 meV per atom. For the spin magnetization, the calculation gives 0.0 Bohr magnetons per cell. As for the space-group type: Cmmm, No. 65.

=====

Record 15
A plane-wave DFT calculation with GGA-PBE was carried out for an optimized crystal structure of InRh2SBr.

```
InRh2SBr
1.0
-4.191 0.509 -1.942
-1.102 -4.849 1.107
-1.738 1.331 4.099
S Rh Br In
1 2 1 1
direct
0.000 0.500 0.000
0.000 0.000 0.500
0.500 0.000 0.000
0.000 0.000 0.000
0.500 0.500 0.500
```

## Properties
As for the density of states at the Fermi level: 0.96 states/eV per atom. For the spin magnetization, the calculation gives 0.0 Bohr magnetons per cell. As for the space-group type: P4/mmm, No. 123.

=====

The evaluated energy relative to the elements, uncorrected for the records listed, in turn: 4.56, -0.12, 0.03, -1.05, -1.18, -1.47, 0.43, -0.05, 1.01, -0.80, 0.78, -0.81, 0.04, -0.83, 4.53 eV per formula unit.
The evaluated energy for the records listed, in turn: -12.22, -14.62, -14.47, -15.55, -15.68, -16.58, -11.33, -11.82, -13.49, -15.31, -13.72, -15.31, -14.46, -15.33, -18.71 eV for the cell shown.